[1]
PaNbMoC3 after structural relaxation, computed with GGA-PBE.

Geometry as POSCAR:
```
PaNbMoC3
1.0
-0.6967 -0.4006 3.1416
-0.4739 -5.5448 -0.8121
8.2088 0.8965 1.9348
C Mo Pa Nb
6 2 2 2
direct
0.7500 0.5633 0.1618 C
0.7500 0.2529 0.5116 C
0.2500 0.4367 0.8382 C
0.2500 0.9592 0.8420 C
0.2500 0.7471 0.4884 C
0.7500 0.0408 0.1580 C
0.2500 0.1227 0.6322 Mo
0.7500 0.8773 0.3678 Mo
0.2500 0.3552 0.3044 Pa
0.7500 0.6448 0.6956 Pa
0.2500 0.7704 0.0538 Nb
0.7500 0.2296 0.9462 Nb
```

Results
* volume: 12.577 Å³ per atom
* space group: P2_1/m (11)

=====

[2]
Hg5Au3 after structural relaxation, computed with GGA-PBE.

Geometry as POSCAR:
```
Hg5Au3
1.0
-7.3556 1.7539 3.2748
5.5728 -4.1899 4.3927
2.2017 5.1957 2.1626
Au Hg
6 10
direct
0.0000 0.6009 0.2500 Au
0.3991 0.3991 0.2500 Au
0.6009 0.6009 0.7500 Au
0.3991 0.0000 0.7500 Au
0.0000 0.3991 0.7500 Au
0.6009 0.0000 0.2500 Au
0.2277 0.0000 0.2500 Hg
0.0000 0.7723 0.7500 Hg
0.2277 0.2278 0.7500 Hg
0.0000 0.2277 0.2500 Hg
0.3333 0.6667 0.0000 Hg
0.6667 0.3333 0.5000 Hg
0.7723 0.0000 0.7500 Hg
0.7723 0.7722 0.2500 Hg
0.3333 0.6667 0.5000 Hg
0.6667 0.3333 0.0000 Hg
```

Results
* volume: 22.212 Å³ per atom
* space group: P6_3/mcm (193)

=====

| no. | D(E_F) (states/eV per atom) | final energy (eV per atom) | DFT formation energy (eV/atom) |
| --- | --- | --- | --- |
| 1 | 0.37 | -10.105 | -0.427 |
| 2 | 0.12 | -1.337 | 0.081 |